1.
The following is a GGA-PBE calculation of a relaxed structure of Zn8Rh2Au, from Alexandria via LeMat-Bulk.

a b c (Å): 6.3720 4.2577 6.5416
angles (deg): 90.00 104.81 90.00
Fractional positions:
1 Zn 0.0455 0.0000 0.3095
2 Zn 0.2218 0.5000 0.7162
3 Zn 0.3046 0.0000 0.0250
4 Zn 0.3443 0.5000 0.3332
5 Zn 0.6557 0.5000 0.6668
6 Zn 0.6954 0.0000 0.9750
7 Zn 0.7782 0.5000 0.2838
8 Zn 0.9545 0.0000 0.6905
9 Rh 0.3765 0.0000 0.6379
10 Rh 0.6235 0.0000 0.3621
11 Au 0.0000 0.5000 0.0000

Calculated values
**Symmetry**: P2/m (10)
**Volume**: 171.6 Å³/cell
**ΔH_f (0 K)**: -0.2065 eV/atom
**Crystal system**: monoclinic
**ΔE to the lowest computed polymorph**: 46 meV/atom

---

2.
The following is a GGA-PBE calculation of a relaxed structure of Zn2RhAu, from Alexandria via LeMat-Bulk.

a b c (Å): 5.2530 5.2530 5.2530
angles (deg): 145.69 131.78 60.51
Fractional positions:
1 Zn 0.0000 0.0000 0.0000
2 Zn 0.7532 0.2532 0.5000
3 Rh 0.5177 0.5177 0.0000
4 Au 0.2503 0.7503 0.5000

Calculated values
**Symmetry**: Imm2 (44)
**Volume**: 60.3 Å³/cell
**ΔH_f (0 K)**: -0.2299 eV/atom
**Crystal system**: orthorhombic

---

3.
The following is a GGA-PBE calculation of a relaxed structure of Zn2RhAu, from Alexandria via LeMat-Bulk.

a b c (Å): 4.9498 4.9498 4.9498
angles (deg): 134.61 134.61 66.14
Fractional positions:
1 Zn 0.0000 0.0000 0.0000
2 Zn 0.7500 0.2500 0.5000
3 Rh 0.5000 0.5000 0.0000
4 Au 0.2500 0.7500 0.5000

Calculated values
**Symmetry**: I-4m2 (119)
**Volume**: 60.5 Å³/cell
**ΔH_f (0 K)**: -0.2223 eV/atom
**Crystal system**: tetragonal

---

4.
The following is a GGA-PBE calculation of a relaxed structure of Zn6Rh3Au, from Alexandria via LeMat-Bulk.

a b c (Å): 7.3379 4.4310 9.4988
angles (deg): 90.00 110.77 90.00
Fractional positions:
1 Zn 0.0358 0.2500 0.4163
2 Zn 0.1478 0.7500 0.1885
3 Zn 0.2286 0.2500 0.0037
4 Zn 0.3347 0.2500 0.3249
5 Zn 0.3402 0.7500 0.7766
6 Zn 0.4390 0.2500 0.6158
7 Zn 0.5610 0.7500 0.3842
8 Zn 0.6598 0.2500 0.2234
9 Zn 0.6653 0.7500 0.6751
10 Zn 0.7714 0.7500 0.9963
11 Zn 0.8522 0.2500 0.8115
12 Zn 0.9642 0.7500 0.5837
13 Rh 0.0450 0.7500 0.8856
14 Rh 0.1449 0.2500 0.7084
15 Rh 0.2700 0.7500 0.4847
16 Rh 0.7300 0.2500 0.5153
17 Rh 0.8551 0.7500 0.2916
18 Rh 0.9550 0.2500 0.1144
19 Au 0.4519 0.7500 0.0864
20 Au 0.5481 0.2500 0.9136

Calculated values
**Symmetry**: P2_1/m (11)
**Volume**: 288.8 Å³/cell
**ΔH_f (0 K)**: -0.3339 eV/atom
**Crystal system**: monoclinic

---

5.
The following is a GGA-PBE calculation of a relaxed structure of Zn8Rh2Au, from Alexandria via LeMat-Bulk.

a b c (Å): 7.0542 7.0542 6.5487
angles (deg): 112.93 112.93 33.14
Fractional positions:
1 Zn 0.0423 0.0423 0.2238
2 Zn 0.1452 0.1452 0.7077
3 Zn 0.3168 0.3168 0.5995
4 Zn 0.3932 0.3932 0.0481
5 Zn 0.6068 0.6068 0.9519
6 Zn 0.6832 0.6832 0.4005
7 Zn 0.8548 0.8548 0.2923
8 Zn 0.9577 0.9577 0.7762
9 Rh 0.2202 0.2202 0.1558
10 Rh 0.7798 0.7798 0.8442
11 Au 0.5000 0.5000 0.5000

Calculated values
**Symmetry**: C2/m (12)
**Volume**: 162.8 Å³/cell
**ΔH_f (0 K)**: -0.2529 eV/atom
**Crystal system**: monoclinic
**ΔE to the lowest computed polymorph**: 0 meV/atom

---

6.
The following is a GGA-PBE calculation of a relaxed structure of Zn2RhAu, from Alexandria via LeMat-Bulk.

a b c (Å): 4.5097 4.5097 4.9414
angles (deg): 101.29 101.29 38.68
Fractional positions:
1 Zn 0.2452 0.2452 0.2316
2 Zn 0.7548 0.7548 0.7684
3 Rh 0.5000 0.5000 0.0000
4 Au 0.0000 0.0000 0.5000

Calculated values
**Symmetry**: C2/m (12)
**Volume**: 61.4 Å³/cell
**ΔH_f (0 K)**: -0.2219 eV/atom
**Crystal system**: monoclinic

---

7.
The following is a GGA-PBE calculation of a relaxed structure of Zn4Rh2Au, from Alexandria via LeMat-Bulk.

a b c (Å): 5.2540 5.2540 5.2540
angles (deg): 109.79 109.79 108.83
Fractional positions:
1 Zn 0.0000 0.0000 0.5000
2 Zn 0.0000 0.5000 0.0000
3 Zn 0.5000 0.0000 0.0000
4 Zn 0.5000 0.5000 0.5000
5 Rh 0.0000 0.5000 0.5000
6 Rh 0.5000 0.0000 0.5000
7 Au 0.0000 0.0000 0.0000

Calculated values
**Symmetry**: I4/mmm (139)
**Volume**: 111.6 Å³/cell
**ΔH_f (0 K)**: -0.2948 eV/atom
**Crystal system**: tetragonal

---

8.
The following is a GGA-PBE calculation of a relaxed structure of Zn4RhAu, from Alexandria via LeMat-Bulk.

a b c (Å): 4.1719 4.1719 6.2610
angles (deg): 90.00 90.00 91.43
Fractional positions:
1 Zn 0.0000 0.5000 0.2311
2 Zn 0.0000 0.5000 0.7689
3 Zn 0.5000 0.0000 0.2311
4 Zn 0.5000 0.0000 0.7689
5 Rh 0.0000 0.0000 0.0000
6 Au 0.5000 0.5000 0.5000

Calculated values
**Symmetry**: Cmmm (65)
**Volume**: 108.9 Å³/cell
**ΔH_f (0 K)**: -0.1504 eV/atom
**Crystal system**: orthorhombic
**ΔE to the lowest computed polymorph**: 82 meV/atom

---

9.
The following is a GGA-PBE calculation of a relaxed structure of Zn2RhAu2, from Alexandria via LeMat-Bulk.

a b c (Å): 8.5763 8.5763 3.0855
angles (deg): 90.00 90.00 159.22
Fractional positions:
1 Zn 0.0854 0.9146 0.0000
2 Zn 0.9146 0.0854 0.0000
3 Rh 0.5000 0.5000 0.5000
4 Au 0.3199 0.6801 0.5000
5 Au 0.6801 0.3199 0.5000

Calculated values
**Symmetry**: Cmmm (65)
**Volume**: 80.5 Å³/cell
**ΔH_f (0 K)**: -0.2604 eV/atom
**Crystal system**: orthorhombic
**ΔE to the lowest computed polymorph**: 0 meV/atom

---

10.
The following is a GGA-PBE calculation of a relaxed structure of Zn5RhAu, from Alexandria via LeMat-Bulk.

a b c (Å): 6.0382 6.0382 6.7396
angles (deg): 106.76 106.76 75.92
Fractional positions:
1 Zn 0.0621 0.9379 0.7500
2 Zn 0.1054 0.3147 0.0713
3 Zn 0.3140 0.5069 0.8623
4 Zn 0.3147 0.1054 0.5713
5 Zn 0.4931 0.6860 0.6377
6 Zn 0.5069 0.3140 0.3623
7 Zn 0.6853 0.8946 0.4287
8 Zn 0.6860 0.4931 0.1377
9 Zn 0.8946 0.6853 0.9287
10 Zn 0.9379 0.0621 0.2500
11 Rh 0.2907 0.7093 0.2500
12 Rh 0.7093 0.2907 0.7500
13 Au 0.0000 0.5000 0.5000
14 Au 0.5000 0.0000 0.0000

Calculated values
**Symmetry**: C2/c (15)
**Volume**: 221.8 Å³/cell
**ΔH_f (0 K)**: -0.1255 eV/atom
**Crystal system**: monoclinic

---

11.
The following is a GGA-PBE calculation of a relaxed structure of Zn6RhAu3, from Alexandria via LeMat-Bulk.

a b c (Å): 6.6870 6.7922 9.9970
angles (deg): 90.00 131.92 90.00
Fractional positions:
1 Zn 0.0068 0.0970 0.2372
2 Zn 0.0068 0.4030 0.7372
3 Zn 0.2124 0.1439 0.0592
4 Zn 0.2124 0.3561 0.5592
5 Zn 0.4401 0.6584 0.0729
6 Zn 0.4401 0.8416 0.5729
7 Zn 0.5599 0.1584 0.4271
8 Zn 0.5599 0.3416 0.9271
9 Zn 0.7876 0.6439 0.4408
10 Zn 0.7876 0.8561 0.9408
11 Zn 0.9932 0.5970 0.2628
12 Zn 0.9932 0.9030 0.7628
13 Rh 0.5000 0.0000 0.0000
14 Rh 0.5000 0.5000 0.5000
15 Au 0.0000 0.0000 0.5000
16 Au 0.0000 0.5000 0.0000
17 Au 0.3092 0.6748 0.7521
18 Au 0.3092 0.8252 0.2521
19 Au 0.6908 0.1748 0.7479
20 Au 0.6908 0.3252 0.2479

Calculated values
**Symmetry**: P2_1/c (14)
**Volume**: 337.8 Å³/cell
**ΔH_f (0 K)**: -0.1015 eV/atom
**Crystal system**: monoclinic
**ΔE to the lowest computed polymorph**: 125 meV/atom

---

12.
The following is a GGA-PBE calculation of a relaxed structure of Zn2RhAu, from Alexandria via LeMat-Bulk.

a b c (Å): 8.6297 8.6297 8.6297
angles (deg): 19.34 19.34 19.34
Fractional positions:
1 Zn 0.2451 0.2451 0.2451
2 Zn 0.7549 0.7549 0.7549
3 Rh 0.5000 0.5000 0.5000
4 Au 0.0000 0.0000 0.0000

Calculated values
**Symmetry**: R-3m (166)
**Volume**: 61.6 Å³/cell
**ΔH_f (0 K)**: -0.2069 eV/atom
**Crystal system**: trigonal